## CoBIO2 (PBE with a Hubbard U)

Data for a geometry-optimized CoBIO2 structure.

Summary:
The value obtained for the energy above the most stable polymorph in this dataset is 0 meV per atom. The value obtained for the total DFT energy (no corrections) is -4.42 eV/atom. The symmetry is P4/mmm. As for the magnetization: 1.68 Bohr magnetons per cell.

a b c (Å): 3.377 3.377 6.498
angles (deg): 90.00 90.00 90.00
Element x y z (fractional)
O  0.500  0.000  0.000
O  0.000  0.500  0.000
B  0.000  0.000  0.000
Co  0.500  0.500  0.500
I  0.000  0.000  0.500

## CoBIO2 (PBE with a Hubbard U)

Data for a geometry-optimized CoBIO2 structure.

Summary:
The value obtained for the energy above the most stable polymorph in this dataset is 281 meV per atom. The value obtained for the total DFT energy (no corrections) is -4.14 eV/atom. The symmetry is P4/mmm. As for the magnetization: 4.12 Bohr magnetons per cell.

a b c (Å): 3.603 3.603 7.307
angles (deg): 90.00 90.00 90.00
Element x y z (fractional)
Co  0.000  0.000  0.000
O  0.000  0.500  0.000
O  0.500  0.000  0.000
B  0.500  0.500  0.500
I  0.000  0.000  0.500

Q: What is the energy above the most stable polymorph in this dataset in the second record?
A: 281 meV per atom

Q: Number 2 is which compound?
A: CoBIO2

Copy entry 2 word for word.
## CoBIO2 (PBE with a Hubbard U)

Data for a geometry-optimized CoBIO2 structure.

Summary:
The value obtained for the energy above the most stable polymorph in this dataset is 281 meV per atom. The value obtained for the total DFT energy (no corrections) is -4.14 eV/atom. The symmetry is P4/mmm. As for the magnetization: 4.12 Bohr magnetons per cell.

a b c (Å): 3.603 3.603 7.307
angles (deg): 90.00 90.00 90.00
Element x y z (fractional)
Co  0.000  0.000  0.000
O  0.000  0.500  0.000
O  0.500  0.000  0.000
B  0.500  0.500  0.500
I  0.000  0.000  0.500

Q: Which value of total DFT energy (no corrections) does entry 1 give?
A: -4.42 eV/atom